Below is a relaxed BaCuNiP2 crystal, with properties calculated at the GGA-PBE level.

Geometry as POSCAR:
```
BaCuNiP2
1.0
4.0200 0.0000 0.0000
0.0000 4.0200 0.0000
-2.0100 -2.0100 5.9139
Ba Cu Ni P
1 1 1 2
direct
0.0000 0.0000 0.0000 Ba
0.2500 0.7500 0.5000 Cu
0.7500 0.2500 0.5000 Ni
0.6546 0.6546 0.3092 P
0.3454 0.3454 0.6908 P
```

Calculated values
Its total magnetic moment is 0.00 Bohr magnetons per cell. The value obtained for the calculated formation energy is -628 meV/atom. As for the space group: I-4m2.

Below is a relaxed Ba2CuNiPb crystal, with properties calculated at the GGA-PBE level.

Geometry as POSCAR:
```
Ba2CuNiPb
1.0
6.6463 0.0000 0.0000
0.0000 4.8218 0.0000
0.0000 0.0000 6.6463
Pb Ni Ba Cu
1 1 2 1
direct
0.0000 0.0000 0.0000 Pb
0.0000 0.5000 0.0000 Ni
0.0000 0.0000 0.5000 Ba
0.5000 0.0000 0.0000 Ba
0.5000 0.5000 0.5000 Cu
```

Calculated values
Its total magnetic moment is 0.00 Bohr magnetons per cell. The value obtained for the calculated formation energy is 373 meV/atom. As for the space group: P4/mmm.